[1]
Computed, not measured: a crystal of TaSiAsBr2 relaxed with PBEsol at the meta-GGA SCAN level of DFT.

Computed properties:
total moment = 2.12 Bohr magnetons per cell
formation energy from raw total energies = 1.471 eV per atom
space-group type = P4/mmm
energy above the most stable polymorph in this dataset = 855 meV per atom
mass density = 6.1 g/cm³

abc: 4.976 4.976 4.862
angles: 90.00 90.00 90.00
Sites, in units of the cell vectors:
Ta 0.500 0.500 0.500
Si 0.000 0.000 0.500
Br 0.500 0.000 0.000
Br 0.000 0.500 0.000
As 0.000 0.000 0.000



[2]
Computed, not measured: a crystal of NaBr relaxed with PBEsol at the meta-GGA SCAN level of DFT.

Computed properties:
total moment = 0.00 Bohr magnetons per cell
formation energy from raw total energies = -1.769 eV per atom
space-group type = Fm-3m
mass density = 3.3 g/cm³

abc: 4.189 4.189 4.189
angles: 60.00 60.00 60.00
Sites, in units of the cell vectors:
Na 0.000 0.000 0.000
Br 0.500 0.500 0.500



[3]
Computed, not measured: a crystal of KBAu3 relaxed with PBEsol at the meta-GGA SCAN level of DFT.

Computed properties:
total moment = 0.00 Bohr magnetons per cell
space-group type = Pm-3m
energy relative to the elements = -0.03 eV/atom
mass density = 11.7 g/cm³

abc: 4.496 4.496 4.496
angles: 90.00 90.00 90.00
Sites, in units of the cell vectors:
Au 0.500 0.000 0.000
Au 0.000 0.000 0.500
Au 0.000 0.500 0.000
B 0.000 0.000 0.000
K 0.500 0.500 0.500



[4]
Computed, not measured: a crystal of AlFePt2 relaxed with PBEsol at the meta-GGA SCAN level of DFT.

Computed properties:
total moment = 3.50 Bohr magnetons per cell
space-group type = Pmm2
energy relative to the elements = -0.81 eV/atom
mass density = 14.2 g/cm³

abc: 2.739 4.403 4.578
angles: 90.00 90.00 90.00
Sites, in units of the cell vectors:
Pt 0.000 0.000 0.071
Pt 0.000 0.500 0.679
Al 0.500 0.000 0.568
Fe 0.500 0.500 0.182



[5]
Computed, not measured: a crystal of Sc2NiRu relaxed with PBEsol at the meta-GGA SCAN level of DFT.

Computed properties:
total moment = 0.00 Bohr magnetons per cell
space-group type = P4/mmm
energy relative to the elements = -0.65 eV/atom
mass density = 6.7 g/cm³

abc: 3.173 3.173 6.176
angles: 90.00 90.00 90.00
Sites, in units of the cell vectors:
Ni 0.500 0.500 0.000
Sc 0.000 0.000 0.251
Sc 0.000 0.000 0.749
Ru 0.500 0.500 0.500



[6]
Computed, not measured: a crystal of KOs2I relaxed with PBEsol at the meta-GGA SCAN level of DFT.

Computed properties:
total moment = 0.00 Bohr magnetons per cell
formation energy from raw total energies = 2.107 eV per atom
space-group type = Fm-3m
mass density = 12.7 g/cm³

abc: 4.657 4.657 4.657
angles: 60.00 60.00 60.00
Sites, in units of the cell vectors:
K 0.000 0.000 0.000
Os 0.750 0.750 0.750
Os 0.250 0.250 0.250
I 0.500 0.500 0.500